This record from the Alexandria database describes a relaxed CeTiPd2 crystal. The functional is PBE-GGA.

ΔH_f (0 K): -0.5491 eV/atom
energy above the most stable polymorph in this dataset: 0 meV per atom
DOS at the Fermi energy: 1.7849 states/eV per atom
crystal system: tetragonal
space group: P4/mmm (123)
uncorrected energy: -26.41 eV/cell

abc: 3.186 3.186 7.411
angles: 90.00 90.00 90.00
Positions (direct):
Pd  0.000  0.000  0.199
Pd  0.000  0.000  0.801
Ce  0.500  0.500  0.500
Ti  0.500  0.500  0.000